*a*
Below is crystalline La3As at its relaxed geometry, with properties calculated at the PBE-GGA level.

Output
Total magnetic moment in μB per cell: 0.00

Unit cell a=3.938 b=3.938 c=7.938 alpha=90.00 beta=90.00 gamma=89.97
Fractional positions:
As1 0.000 0.000 0.000
La1 0.500 0.500 0.803
La2 0.000 0.000 0.500
La3 0.500 0.500 0.197



*b*
Below is crystalline La3As at its relaxed geometry, with properties calculated at the PBE-GGA level.

Output
Total magnetic moment in μB per cell: 0.00

Unit cell a=4.009 b=6.511 c=10.004 alpha=90.00 beta=90.00 gamma=90.00
Fractional positions:
La1 0.500 0.000 0.433
La2 0.000 0.500 0.567
La3 0.000 0.741 0.161
La4 0.000 0.259 0.161
La5 0.500 0.241 0.839
La6 0.500 0.759 0.839
As1 0.000 0.000 0.660
As2 0.500 0.500 0.340



Verdict on stability: *b* comes out on top.



*a*
Below is crystalline La4As at its relaxed geometry, with properties calculated at the PBE-GGA level.

Output
Total magnetic moment in μB per cell: 0.00

Unit cell a=6.844 b=6.844 c=6.844 alpha=94.65 beta=94.65 gamma=146.92
Fractional positions:
La1 0.759 0.427 0.186
La2 0.427 0.241 0.668
La3 0.241 0.573 0.814
La4 0.573 0.759 0.332
As1 0.000 0.000 0.000



*b*
Below is crystalline La4As at its relaxed geometry, with properties calculated at the PBE-GGA level.

Output
Total magnetic moment in μB per cell: 0.03

Unit cell a=6.129 b=6.129 c=6.129 alpha=109.47 beta=109.47 gamma=109.47
Fractional positions:
La1 0.500 0.000 0.000
La2 0.500 0.500 0.500
La3 0.000 0.500 0.000
La4 0.000 0.000 0.500
As1 0.000 0.000 0.000



Verdict on stability: *a* comes out on top.



*a*
Below is crystalline La4As at its relaxed geometry, with properties calculated at the PBE-GGA level.

Output
Total magnetic moment in μB per cell: 0.11

Unit cell a=5.824 b=5.824 c=5.824 alpha=90.00 beta=90.00 gamma=90.00
Fractional positions:
As1 0.500 0.500 0.500
La1 0.000 0.000 0.000
La2 0.500 0.000 0.500
La3 0.000 0.500 0.500
La4 0.500 0.500 0.000



*b*
Below is crystalline La4As at its relaxed geometry, with properties calculated at the PBE-GGA level.

Output
Total magnetic moment in μB per cell: 0.00

Unit cell a=10.408 b=10.408 c=10.408 alpha=157.18 beta=157.18 gamma=32.49
Fractional positions:
La1 0.750 0.250 0.500
La2 0.250 0.750 0.500
La3 0.579 0.579 0.000
La4 0.421 0.421 0.000
As1 0.000 0.000 0.000



Verdict on stability: *a* comes out on top.